Record 1
The following is a DFT calculation (SCAN) of a PBEsol-optimized structure of MoAuBr.

Lattice parameters (Å, degrees): 3.0064 3.0064 12.5233 90.00 90.00 90.00
Last column: nearest neighbours and their distance in Å.
Space group I4mm (No. 107)
Inequivalent atoms, fractional coordinates:
Mo 0.0000 0.0000 0.0000 x2  4 Br 2.66, 4 Au 2.75
Au 0.0000 0.0000 0.6394 x2  4 Mo 2.75, 4 Au 3.01
Br 0.0000 0.0000 0.3725 x2  4 Mo 2.66

Record 2
The following is a DFT calculation (SCAN) of a PBEsol-optimized structure of Mo2AuBr.

Lattice parameters (Å, degrees): 4.6903 4.6903 2.9154 90.00 90.00 90.00
Last column: nearest neighbours and their distance in Å.
Space group P4/mmm (No. 123)
Inequivalent atoms, fractional coordinates:
Mo 0.0000 0.5000 0.0000 x2  4 Br 2.76, 4 Au 2.76, 2 Mo 2.92
Au 0.0000 0.0000 0.5000 x1  8 Mo 2.76, 2 Au 2.92
Br 0.5000 0.5000 0.5000 x1  8 Mo 2.76, 2 Br 2.92

Record 3
The following is a DFT calculation (SCAN) of a PBEsol-optimized structure of Mo2AuBr.

Lattice parameters (Å, degrees): 3.0358 4.6919 9.3292 90.00 90.00 90.00
Last column: nearest neighbours and their distance in Å.
Space group Immm (No. 71)
Inequivalent atoms, fractional coordinates:
Mo 0.0000 0.0000 0.2335 x4  2 Br 2.65, 4 Mo 2.81, 2 Au 2.91
Au 0.0000 0.5000 0.0000 x2  4 Br 2.79, 4 Mo 2.91, 2 Au 3.04
Br 0.0000 0.5000 0.5000 x2  4 Mo 2.65, 4 Au 2.79

Record 4
The following is a DFT calculation (SCAN) of a PBEsol-optimized structure of Mo2AuBr.

Lattice parameters (Å, degrees): 10.0392 2.8562 4.8580 90.00 106.51 90.00
Last column: nearest neighbours and their distance in Å.
Space group Cm (No. 8)
Inequivalent atoms, fractional coordinates:
Mo 0.0000 0.0000 0.0000 x2  2 Br 2.59, 4 Au 2.76-2.88, 4 Mo 2.86
Mo 0.2471 0.0000 0.7507 x2  2 Br 2.59, 4 Mo 2.86, 2 Au 2.87
Au 0.4931 0.0000 0.5106 x2  7 Mo 2.76-3.02, 2 Au 2.86, 2 Br 3.08
Br 0.2228 0.5000 0.1789 x2  4 Mo 2.59, 2 Br 2.86

Record 5
The following is a DFT calculation (SCAN) of a PBEsol-optimized structure of MoAuBr.

Lattice parameters (Å, degrees): 3.0680 3.0680 6.7670 90.00 90.00 120.00
Last column: nearest neighbours and their distance in Å.
Space group P3m1 (No. 156)
Inequivalent atoms, fractional coordinates:
Mo 0.0000 0.0000 0.0000 x1  3 Br 2.54, 3 Au 2.77
Au 0.3333 0.6667 0.6853 x1  3 Mo 2.77, 6 Au 3.07
Br 0.6667 0.3333 0.2686 x1  3 Mo 2.54

Record 6
The following is a DFT calculation (SCAN) of a PBEsol-optimized structure of Mo2AuBr.

Lattice parameters (Å, degrees): 8.3670 2.9099 5.5014 90.00 99.80 90.00
Last column: nearest neighbours and their distance in Å.
Space group C2/m (No. 12)
Inequivalent atoms, fractional coordinates:
Mo 0.2490 0.0000 0.2640 x4  3 Br 2.64-2.70, 3 Au 2.75, 2 Mo 2.91
Au 0.0000 0.5000 0.0000 x2  6 Mo 2.75, 2 Au 2.91
Br 0.0000 0.0000 0.5000 x2  6 Mo 2.64-2.70, 2 Br 2.91

Record 7
The following is a DFT calculation (SCAN) of a PBEsol-optimized structure of MoAuBr.

Lattice parameters (Å, degrees): 4.4877 4.4877 2.9682 90.00 90.00 120.00
Last column: nearest neighbours and their distance in Å.
Space group P-6m2 (No. 187)
Inequivalent atoms, fractional coordinates:
Mo 0.0000 0.0000 0.0000 x1  3 Br 2.59
Au 0.6667 0.3333 0.5000 x1  2 Au 2.97, 6 Mo 2.99, 6 Br 2.99
Br 0.3333 0.6667 0.0000 x1  3 Mo 2.59

Record 8
The following is a DFT calculation (SCAN) of a PBEsol-optimized structure of NiMo2AuBr.

Lattice parameters (Å, degrees): 5.0276 5.0276 5.0177 90.00 90.00 90.00
Last column: nearest neighbours and their distance in Å.
Space group P4/mmm (No. 123)
Inequivalent atoms, fractional coordinates:
Ni 0.0000 0.0000 0.0000 x1  8 Mo 3.55, 4 Br 3.56
Mo 0.0000 0.5000 0.5000 x2  2 Au 2.51
Au 0.5000 0.5000 0.5000 x1  2 Br 2.51, 4 Mo 2.51
Br 0.5000 0.5000 0.0000 x1  2 Au 2.51

Record 9
The following is a DFT calculation (SCAN) of a PBEsol-optimized structure of Pt2AuBrN.

Lattice parameters (Å, degrees): 3.8450 3.8450 6.8916 90.00 90.00 90.00
Last column: nearest neighbours and their distance in Å.
Space group P4/mmm (No. 123)
Inequivalent atoms, fractional coordinates:
Pt 0.0000 0.5000 0.0000 x2  2 N 1.92
Au 0.0000 0.0000 0.5000 x1  4 Br 2.72
Br 0.5000 0.5000 0.5000 x1  4 Au 2.72
N 0.0000 0.0000 0.0000 x1  4 Pt 1.92

Record 10
The following is a DFT calculation (SCAN) of a PBEsol-optimized structure of AuSeBrN2.

Lattice parameters (Å, degrees): 3.9439 3.9439 6.2412 90.00 90.00 90.00
Last column: nearest neighbours and their distance in Å.
Space group P4/mmm (No. 123)
Inequivalent atoms, fractional coordinates:
Au 0.0000 0.0000 0.0000 x1  4 N 1.97
Se 0.0000 0.0000 0.5000 x1  4 Br 2.79, 2 Au 3.12
Br 0.5000 0.5000 0.5000 x1  4 Se 2.79
N 0.0000 0.5000 0.0000 x2  2 Au 1.97

Record 11
The following is a DFT calculation (SCAN) of a PBEsol-optimized structure of TiAuBrN2.

Lattice parameters (Å, degrees): 3.8323 3.8323 5.6122 90.00 90.00 90.00
Last column: nearest neighbours and their distance in Å.
Space group P4/mmm (No. 123)
Inequivalent atoms, fractional coordinates:
Ti 0.0000 0.0000 0.0000 x1  4 N 1.92
Au 0.5000 0.5000 0.5000 x1  4 Br 2.71
Br 0.0000 0.0000 0.5000 x1  4 Au 2.71, 2 Ti 2.81
N 0.0000 0.5000 0.0000 x2  2 Ti 1.92

Record 12
The following is a DFT calculation (SCAN) of a PBEsol-optimized structure of NaAuBr3.

Lattice parameters (Å, degrees): 5.2343 5.2343 5.2343 90.00 90.00 90.00
Last column: nearest neighbours and their distance in Å.
Space group Pm-3m (No. 221)
Inequivalent atoms, fractional coordinates:
Na 0.0000 0.0000 0.0000 x1  6 Br 2.62
Au 0.5000 0.5000 0.5000 x1  12 Br 3.70
Br 0.0000 0.0000 0.5000 x3  2 Na 2.62

Record 13
The following is a DFT calculation (SCAN) of a PBEsol-optimized structure of NbAu3Br.

Lattice parameters (Å, degrees): 4.8923 4.8923 4.8923 90.00 90.00 90.00
Last column: nearest neighbours and their distance in Å.
Space group Pm-3m (No. 221)
Inequivalent atoms, fractional coordinates:
Nb 0.0000 0.0000 0.0000 x1  12 Au 3.46
Au 0.0000 0.5000 0.5000 x3  2 Br 2.45
Br 0.5000 0.5000 0.5000 x1  6 Au 2.45

Record 14
The following is a DFT calculation (SCAN) of a PBEsol-optimized structure of Nb2SiAuBr.

Lattice parameters (Å, degrees): 4.8192 4.8192 4.4870 90.00 90.00 90.00
Last column: nearest neighbours and their distance in Å.
Space group P4/mmm (No. 123)
Inequivalent atoms, fractional coordinates:
Nb 0.0000 0.5000 0.0000 x2  2 Si 2.41
Si 0.0000 0.0000 0.0000 x1  2 Au 2.24, 4 Nb 2.41
Au 0.0000 0.0000 0.5000 x1  2 Si 2.24
Br 0.5000 0.5000 0.5000 x1  8 Nb 3.29, 4 Au 3.41

Record 15
The following is a DFT calculation (SCAN) of a PBEsol-optimized structure of Ni2AuBr.

Lattice parameters (Å, degrees): 2.9423 4.0642 10.8435 90.00 90.00 90.00
Last column: nearest neighbours and their distance in Å.
Space group Imm2 (No. 44)
Inequivalent atoms, fractional coordinates:
Ni 0.0000 0.0000 0.0000 x2  2 Ni 2.49, 2 Au 2.51
Ni 0.0000 0.5000 0.3149 x2  2 Br 2.45, 2 Ni 2.49, 4 Au 2.56
Au 0.0000 0.5000 0.8639 x2  6 Ni 2.51-2.56
Br 0.0000 0.0000 0.6342 x2  2 Ni 2.45

Record 16
The following is a DFT calculation (SCAN) of a PBEsol-optimized structure of NiAu2Br.

Lattice parameters (Å, degrees): 2.9894 2.9894 7.6932 90.00 90.00 90.00
Last column: nearest neighbours and their distance in Å.
Space group P4mm (No. 99)
Inequivalent atoms, fractional coordinates:
Ni 0.0000 0.0000 0.0000 x1  4 Br 2.57, 4 Au 2.70
Au 0.0000 0.0000 0.4634 x1  8 Au 2.84-2.99
Au 0.5000 0.5000 0.2177 x1  4 Ni 2.70, 8 Au 2.84-2.99
Br 0.5000 0.5000 0.8109 x1  4 Ni 2.57

Record 17
The following is a DFT calculation (SCAN) of a PBEsol-optimized structure of NiAu2Br.

Lattice parameters (Å, degrees): 5.3022 10.3162 3.2468 90.00 127.42 90.00
Last column: nearest neighbours and their distance in Å.
Space group C2/m (No. 12)
Inequivalent atoms, fractional coordinates:
Ni 0.0000 0.0000 0.0000 x2  4 Br 2.65-2.67, 4 Au 2.90
Au 0.2500 0.2500 0.5000 x4  4 Au 2.65-2.67, 2 Br 2.90, 2 Ni 2.90
Br 0.0000 0.5000 0.0000 x2  4 Ni 2.65-2.67, 4 Au 2.90

Record 18
The following is a DFT calculation (SCAN) of a PBEsol-optimized structure of NiAuBr3.

Lattice parameters (Å, degrees): 4.7991 4.7991 4.7991 90.00 90.00 90.00
Last column: nearest neighbours and their distance in Å.
Space group Pm-3m (No. 221)
Inequivalent atoms, fractional coordinates:
Ni 0.0000 0.0000 0.0000 x1  6 Br 2.40
Au 0.5000 0.5000 0.5000 x1  12 Br 3.39
Br 0.0000 0.0000 0.5000 x3  2 Ni 2.40

Record 19
The following is a DFT calculation (SCAN) of a PBEsol-optimized structure of NiAu2Br.

Lattice parameters (Å, degrees): 2.8528 4.3175 12.1364 90.00 90.00 90.00
Last column: nearest neighbours and their distance in Å.
Space group Imm2 (No. 44)
Inequivalent atoms, fractional coordinates:
Ni 0.0000 0.0000 0.0000 x2  2 Br 2.37
Au 0.0000 0.0000 0.5484 x2  4 Ni 2.65, 4 Au 2.72-2.85
Au 0.0000 0.5000 0.6849 x2  2 Ni 2.66, 4 Au 2.72-2.85
Br 0.0000 0.5000 0.3445 x2  2 Ni 2.37

Record 20
The following is a DFT calculation (SCAN) of a PBEsol-optimized structure of PAuBrO2.

Lattice parameters (Å, degrees): 3.6996 3.6996 5.3815 90.00 90.00 90.00
Last column: nearest neighbours and their distance in Å.
Space group P4/mmm (No. 123)
Inequivalent atoms, fractional coordinates:
P 0.0000 0.0000 0.0000 x1  4 Au 2.62, 2 Br 2.69
Au 0.5000 0.5000 0.0000 x1  4 P 2.62
Br 0.0000 0.0000 0.5000 x1  4 O 1.85
O 0.0000 0.5000 0.5000 x2  2 Br 1.85

Number 1: size of the total moment 0.00 μB/cell, ΔE_f (raw) 0.42 eV per atom. Number 2: size of the total moment 0.00 μB/cell, ΔE_f (raw) 0.86 eV per atom. Number 3: size of the total moment 0.00 μB/cell, ΔE_f (raw) 0.97 eV per atom. Number 4: size of the total moment 0.00 μB/cell, ΔE_f (raw) 0.79 eV per atom. Number 5: size of the total moment 0.00 μB/cell, ΔE_f (raw) 0.35 eV per atom. Number 6: size of the total moment 0.00 μB/cell, ΔE_f (raw) 0.78 eV per atom. Number 7: size of the total moment 0.00 μB/cell, ΔE_f (raw) 0.85 eV per atom. Number 8: size of the total moment 9.38 μB/cell, ΔE_f (raw) 2.17 eV per atom. Number 9: size of the total moment 0.00 μB/cell, ΔE_f (raw) 0.62 eV per atom. Number 10: size of the total moment 3.85 μB/cell, ΔE_f (raw) 1.52 eV per atom. Number 11: size of the total moment 0.00 μB/cell, ΔE_f (raw) 0.40 eV per atom. Number 12: size of the total moment 1.04 μB/cell, ΔE_f (raw) 0.09 eV per atom. Number 13: size of the total moment 3.41 μB/cell, ΔE_f (raw) 1.44 eV per atom. Number 14: size of the total moment 0.01 μB/cell, ΔE_f (raw) 0.74 eV per atom. Number 15: size of the total moment 4.00 μB/cell, ΔE_f (raw) 0.34 eV per atom. Number 16: size of the total moment 1.10 μB/cell, ΔE_f (raw) 0.31 eV per atom. Number 17: size of the total moment 2.36 μB/cell, ΔE_f (raw) 0.39 eV per atom. Number 18: size of the total moment 0.00 μB/cell, ΔE_f (raw) 0.23 eV per atom. Number 19: size of the total moment 0.00 μB/cell, ΔE_f (raw) 0.23 eV per atom. Number 20: size of the total moment 0.00 μB/cell, ΔE_f (raw) 0.69 eV per atom.